No. 1
VASP calculation (PBE) on crystalline SiMo2Cl at its relaxed geometry.

## Properties
Calculated total energy in eV/atom: -6.46
SG: No. 216
Distance to the lowest polymorph of the same formula in meV/atom: 782
Formation energy (no corrections) in eV/atom: 0.7772

abc: 4.4717 4.4717 4.4717
angles: 60.00 60.00 60.00
Last column: nearest neighbours and their distance in Å.
Positions (direct):
Si 0.0000 0.0000 0.0000  4 Mo 2.74, 4 Cl 2.74
Mo 0.5000 0.5000 0.5000  4 Mo 2.74, 4 Cl 2.74
Mo 0.7500 0.7500 0.7500  4 Mo 2.74, 4 Si 2.74
Cl 0.2500 0.2500 0.2500  4 Mo 2.74, 4 Si 2.74

***

No. 2
VASP calculation (PBE) on crystalline Y3HoCo at its relaxed geometry.

## Properties
Calculated total energy in eV/atom: -6.32
SG: No. 12
Distance to the lowest polymorph of the same formula in meV/atom: 0
Formation energy in eV per formula unit: -0.5

abc: 7.1534 7.1534 8.1351
angles: 124.62 124.62 71.57
Last column: nearest neighbours and their distance in Å.
Positions (direct):
Y 0.0479 0.0479 0.2548  1 Co 2.57
Y 0.0488 0.4539 0.7944  1 Co 2.57
Y 0.4539 0.0488 0.7944  1 Co 2.57
Y 0.5461 0.9512 0.2056  1 Co 2.57
Y 0.9512 0.5461 0.2056  1 Co 2.57
Y 0.9521 0.9521 0.7452  1 Co 2.57
Ho 0.4535 0.4535 0.6583  1 Co 2.53
Ho 0.5465 0.5465 0.3417  1 Co 2.53
Co 0.2516 0.2516 0.1289  1 Ho 2.53, 3 Y 2.57
Co 0.7484 0.7484 0.8711  1 Ho 2.53, 3 Y 2.57

***

No. 3
VASP calculation (PBE) on crystalline TlCoSeBr2 at its relaxed geometry.

## Properties
Calculated total energy in eV/atom: -3.47
SG: No. 123
Distance to the lowest polymorph of the same formula in meV/atom: 0
Formation energy (no corrections) in eV/atom: -0.2071

abc: 5.3595 5.3595 4.6350
angles: 90.00 90.00 90.00
Last column: nearest neighbours and their distance in Å.
Positions (direct):
Tl 0.0000 0.0000 0.0000  8 Br 3.54, 4 Se 3.79
Co 0.5000 0.5000 0.5000  2 Se 2.32
Se 0.5000 0.5000 0.0000  2 Co 2.32
Br 0.0000 0.5000 0.5000  2 Co 2.68
Br 0.5000 0.0000 0.5000  2 Co 2.68

***

No. 4
VASP calculation (PBE) on crystalline AcSnSe at its relaxed geometry.

## Properties
Calculated total energy in eV/atom: -5.05
SG: No. 160
Distance to the lowest polymorph of the same formula in meV/atom: 134
Formation energy (no corrections) in eV/atom: -1.1845

abc: 10.8687 10.8687 10.8687
angles: 25.72 25.72 25.72
Last column: nearest neighbours and their distance in Å.
Positions (direct):
Ac 0.0000 0.0000 0.0000  3 Se 3.06
Ac 0.4824 0.4824 0.4824  3 Se 2.93
Sn 0.2260 0.2260 0.2260  3 Sn 3.06
Sn 0.5986 0.5986 0.5986  3 Sn 3.06
Se 0.3734 0.3734 0.3734  3 Ac 3.06
Se 0.7878 0.7878 0.7878  3 Ac 2.93